Rb2CdIO6, optimized geometry, DFT PBE; volume = 154.9 Å³/cell; uncorrected energy = -4.25 eV/atom
1.0
-1.062 -5.751 -1.463
1.473 -4.408 3.840
-4.325 -3.086 2.849
Cd O Rb I
1 6 2 1
direct
0.500 0.500 0.500 Cd
0.776 0.224 0.776 O
0.776 0.224 0.224 O
0.224 0.776 0.776 O
0.224 0.224 0.776 O
0.776 0.776 0.224 O
0.224 0.776 0.224 O
0.250 0.250 0.250 Rb
0.750 0.750 0.750 Rb
0.000 0.000 0.000 I

***

RbCdIO2, optimized geometry, DFT PBE; volume = 176.6 Å³/cell; uncorrected energy = -2.28 eV/atom
1.0
-2.385 4.006 -1.386
-4.050 -1.683 2.103
1.923 3.353 6.386
O Cd Rb I
2 1 1 1
direct
0.500 0.000 0.000 O
0.000 0.500 0.000 O
0.500 0.500 0.500 Cd
0.000 0.000 0.000 Rb
0.000 0.000 0.500 I